# 1
Ba12CaTl6 | PBE-GGA | optimized geometry

POSCAR file:
```
Ba12CaTl6
1.0
8.8542 5.1120 3.3827
-8.8542 5.1120 3.3827
0.0000 -10.2240 3.3827
Ba Ca Tl
12 1 6
direct
0.0585 0.1624 0.7062
0.1624 0.7062 0.0585
0.1720 0.3827 0.4906
0.2938 0.9415 0.8376
0.3827 0.4906 0.1720
0.4906 0.1720 0.3827
0.5094 0.8280 0.6173
0.6173 0.5094 0.8280
0.7062 0.0585 0.1624
0.8280 0.6173 0.5094
0.8376 0.2938 0.9415
0.9415 0.8376 0.2938
0.0000 0.0000 0.0000
0.0957 0.6128 0.3411
0.3411 0.0957 0.6128
0.3872 0.6589 0.9043
0.6128 0.3411 0.0957
0.6589 0.9043 0.3872
0.9043 0.3872 0.6589
```

Values from the calculation:
- E (eV/cell) = -42.15
- total magnetic moment (μB per atom) = 0.000
- energy of formation (eV/atom) = -0.152
- density of states at the Fermi level (states/eV per cell) = 25.35

# 2
LuThInAu | PBE-GGA | optimized geometry

POSCAR file:
```
LuThInAu
1.0
7.4617 0.0000 0.0000
0.0000 7.4617 0.0000
0.0000 0.0000 7.4617
Lu Th In Au
4 4 4 4
direct
0.0000 0.0000 0.0000
0.0000 0.5000 0.5000
0.5000 0.0000 0.5000
0.5000 0.5000 0.0000
0.0000 0.0000 0.5000
0.0000 0.5000 0.0000
0.5000 0.0000 0.0000
0.5000 0.5000 0.5000
0.2500 0.2500 0.7500
0.2500 0.7500 0.2500
0.7500 0.2500 0.2500
0.7500 0.7500 0.7500
0.2500 0.2500 0.2500
0.2500 0.7500 0.7500
0.7500 0.2500 0.7500
0.7500 0.7500 0.2500
```

Values from the calculation:
- E (eV/cell) = -78.85
- total magnetic moment (μB per atom) = 0.164
- energy of formation (eV/atom) = -0.439
- density of states at the Fermi level (states/eV per cell) = 16.78

# 3
La2TmGa3 | PBE-GGA | optimized geometry

POSCAR file:
```
La2TmGa3
1.0
5.0188 0.0000 0.0000
0.0000 6.0167 0.0000
0.0000 0.0000 11.2299
La Tm Ga
4 2 6
direct
0.0000 0.0000 0.1790
0.0000 0.0000 0.8210
0.5000 0.5000 0.3210
0.5000 0.5000 0.6790
0.0000 0.0000 0.5000
0.5000 0.5000 0.0000
0.0000 0.5000 0.1245
0.0000 0.5000 0.5000
0.0000 0.5000 0.8755
0.5000 0.0000 0.0000
0.5000 0.0000 0.3755
0.5000 0.0000 0.6245
```

Values from the calculation:
- E (eV/cell) = -51.03
- total magnetic moment (μB per atom) = 0.000
- energy of formation (eV/atom) = -0.351
- density of states at the Fermi level (states/eV per cell) = 15.96

# 4
SrInAgF6 | PBE-GGA | optimized geometry

POSCAR file:
```
SrInAgF6
1.0
5.3923 0.0000 0.0000
0.0000 5.3923 0.0000
0.0000 0.0000 11.0121
Sr In Ag F
2 2 2 12
direct
0.0000 0.0000 0.0000
0.5000 0.5000 0.5000
0.0000 0.0000 0.6648
0.5000 0.5000 0.1648
0.0000 0.0000 0.3292
0.5000 0.5000 0.8292
0.1809 0.1809 0.8123
0.1860 0.1860 0.5223
0.2236 0.2236 0.1582
0.2764 0.7236 0.6582
0.3140 0.6860 0.0223
0.3191 0.6809 0.3123
0.6809 0.3191 0.3123
0.6860 0.3140 0.0223
0.7236 0.2764 0.6582
0.7764 0.7764 0.1582
0.8140 0.8140 0.5223
0.8191 0.8191 0.8123
```

Values from the calculation:
- E (eV/cell) = -84.73
- total magnetic moment (μB per atom) = 0.010
- ΔE_f (raw) (eV per formula unit) = -23.87
- density of states at the Fermi level (states/eV per cell) = 0.00

# 5
TiNb2Zn | PBE-GGA | optimized geometry

POSCAR file:
```
TiNb2Zn
1.0
5.3907 0.0000 0.0000
0.0000 2.6992 0.0000
-2.0555 0.0000 9.6322
Ti Nb Zn
2 4 2
direct
0.0000 0.0000 0.0000
0.5000 0.5000 0.0000
0.1282 0.5000 0.7446
0.3266 0.5000 0.2540
0.6282 0.0000 0.7446
0.8266 0.0000 0.2540
0.2315 0.0000 0.4992
0.7315 0.5000 0.4992
```

Values from the calculation:
- E (eV/cell) = -57.83
- total magnetic moment (μB per atom) = 0.000
- energy of formation (eV/atom) = 0.098
- density of states at the Fermi level (states/eV per cell) = 9.31

# 6
ZrScSb2 | PBE-GGA | optimized geometry

POSCAR file:
```
ZrScSb2
1.0
5.8653 0.0000 0.0000
0.0000 5.8653 0.0000
0.0000 0.0000 11.7193
Zr Sc Sb
4 4 8
direct
0.0000 0.2500 0.3750
0.0000 0.7500 0.6250
0.5000 0.2500 0.1250
0.5000 0.7500 0.8750
0.0000 0.2500 0.8750
0.0000 0.7500 0.1250
0.5000 0.2500 0.6250
0.5000 0.7500 0.3750
0.0000 0.2500 0.1235
0.0000 0.2500 0.6265
0.0000 0.7500 0.3735
0.0000 0.7500 0.8765
0.5000 0.2500 0.3765
0.5000 0.2500 0.8735
0.5000 0.7500 0.1265
0.5000 0.7500 0.6235
```

Values from the calculation:
- energy above the lowest structure with this stoichiometry (eV/atom) = 0.003
- E (eV/cell) = -104.61
- total magnetic moment (μB per atom) = 0.000
- ΔE_f (raw) (eV per formula unit) = -3.03
- density of states at the Fermi level (states/eV per cell) = 9.79

# 7
NaGa2Sn | PBE-GGA | optimized geometry

POSCAR file:
```
NaGa2Sn
1.0
4.7452 0.0000 0.0000
0.0000 11.3781 0.0000
0.0000 0.0000 6.9932
Na Ga Sn
4 8 4
direct
0.0000 0.0800 0.2500
0.0000 0.9200 0.7500
0.5000 0.4200 0.7500
0.5000 0.5800 0.2500
0.0000 0.3870 0.0518
0.0000 0.3870 0.4482
0.0000 0.6130 0.5518
0.0000 0.6130 0.9482
0.5000 0.1130 0.5518
0.5000 0.1130 0.9482
0.5000 0.8870 0.0518
0.5000 0.8870 0.4482
0.0000 0.2089 0.7500
0.0000 0.7911 0.2500
0.5000 0.2911 0.2500
0.5000 0.7089 0.7500
```

Values from the calculation:
- E (eV/cell) = -47.15
- total magnetic moment (μB per atom) = 0.000
- energy of formation (eV/atom) = -0.103
- density of states at the Fermi level (states/eV per cell) = 6.54

# 8
PuThZr2P4 | PBE-GGA | optimized geometry

POSCAR file:
```
PuThZr2P4
1.0
6.7529 0.0000 0.0000
0.0000 3.8950 0.0000
-2.2399 0.0000 6.4005
Pu Th Zr P
1 1 2 4
direct
0.0000 0.0000 0.0000
0.5000 0.5000 0.0000
0.0000 0.5000 0.5000
0.5000 0.0000 0.5000
0.2386 0.0000 0.7288
0.2506 0.5000 0.2665
0.7494 0.5000 0.7335
0.7614 0.0000 0.2712
```

Values from the calculation:
- E (eV/cell) = -71.56
- total magnetic moment (μB per atom) = 0.652
- energy of formation (eV/atom) = -1.384
- density of states at the Fermi level (states/eV per cell) = 10.73

# 9
CaHg2Pb8 | PBE-GGA | optimized geometry

POSCAR file:
```
CaHg2Pb8
1.0
7.1067 -3.2602 0.0000
7.1067 3.2602 0.0000
-3.0274 0.0000 7.4278
Ca Hg Pb
1 2 8
direct
0.0000 0.0000 0.0000
0.1405 0.1405 0.7752
0.8595 0.8595 0.2248
0.1609 0.6554 0.6023
0.2546 0.2546 0.2390
0.3446 0.8391 0.3977
0.3800 0.3800 0.9614
0.6200 0.6200 0.0386
0.6554 0.1609 0.6023
0.7454 0.7454 0.7610
0.8391 0.3446 0.3977
```

Values from the calculation:
- E (eV/cell) = -32.52
- total magnetic moment (μB per atom) = 0.000
- energy of formation (eV/atom) = -0.022
- density of states at the Fermi level (states/eV per cell) = 5.18

# 10
MnGe | PBE-GGA | optimized geometry

POSCAR file:
```
MnGe
1.0
4.7563 0.0000 0.0000
0.0000 4.7563 0.0000
0.0000 0.0000 4.7563
Mn Ge
4 4
direct
0.1370 0.1370 0.1370
0.3630 0.8630 0.6370
0.6370 0.3630 0.8630
0.8630 0.6370 0.3630
0.1570 0.3430 0.6570
0.3430 0.6570 0.1570
0.6570 0.1570 0.3430
0.8430 0.8430 0.8430
```

Values from the calculation:
- E (eV/cell) = -56.11
- total magnetic moment (μB per atom) = 1.000
- energy of formation (eV/atom) = -0.120
- density of states at the Fermi level (states/eV per cell) = 2.46

# 11
AlAgOs2 | PBE-GGA | optimized geometry

POSCAR file:
```
AlAgOs2
1.0
2.8168 0.0000 0.0000
0.0000 3.7730 0.0000
0.0000 0.0000 5.7193
Al Ag Os
1 1 2
direct
0.0000 0.0000 0.0000
0.5000 0.5000 0.2436
0.0000 0.0000 0.5399
0.5000 0.5000 0.7409
```

Values from the calculation:
- E (eV/cell) = -28.38
- total magnetic moment (μB per atom) = 0.000
- energy of formation (eV/atom) = 0.168
- density of states at the Fermi level (states/eV per cell) = 1.78

# 12
PrSe2 | PBE-GGA | optimized geometry

POSCAR file:
```
PrSe2
1.0
8.6231 0.0000 0.0000
0.0000 4.2215 0.0000
-0.0205 0.0000 8.4701
Pr Se
4 8
direct
0.2252 0.2240 0.3737
0.2252 0.2760 0.8737
0.7748 0.7240 0.1263
0.7748 0.7760 0.6263
0.1319 0.7442 0.1252
0.1319 0.7558 0.6252
0.4983 0.6857 0.3813
0.4983 0.8143 0.8813
0.5017 0.1857 0.1187
0.5017 0.3143 0.6187
0.8681 0.2442 0.3748
0.8681 0.2558 0.8748
```

Values from the calculation:
- E (eV/cell) = -66.65
- total magnetic moment (μB per atom) = 0.000
- ΔE_f (raw) (eV per formula unit) = -4.91
- density of states at the Fermi level (states/eV per cell) = 1.45

# 13
Rb2BiN2 | PBE-GGA | optimized geometry

POSCAR file:
```
Rb2BiN2
1.0
10.8578 0.0000 0.0000
0.0000 6.4739 0.0000
-3.5039 0.0000 5.2477
Rb Bi N
4 2 4
direct
0.2447 0.0000 0.2539
0.2553 0.5000 0.7461
0.7447 0.5000 0.2539
0.7553 0.0000 0.7461
0.0000 0.5000 0.0000
0.5000 0.0000 0.0000
0.0367 0.0000 0.4628
0.4633 0.5000 0.5372
0.5367 0.5000 0.4628
0.9633 0.0000 0.5372
```

Values from the calculation:
- E (eV/cell) = -46.01
- total magnetic moment (μB per atom) = 0.205
- ΔE_f (raw) (eV per formula unit) = -0.54
- density of states at the Fermi level (states/eV per cell) = 10.60

# 14
Tl2SbW | PBE-GGA | optimized geometry

POSCAR file:
```
Tl2SbW
1.0
3.0531 0.0000 0.0000
0.0000 4.9522 0.0000
0.0000 0.0000 14.0015
Tl Sb W
4 2 2
direct
0.0000 0.0000 0.0000
0.0000 0.5000 0.1787
0.5000 0.0000 0.6787
0.5000 0.5000 0.5000
0.0000 0.0000 0.3637
0.5000 0.5000 0.8637
0.0000 0.5000 0.6969
0.5000 0.0000 0.1969
```

Values from the calculation:
- energy above the lowest structure with this stoichiometry (eV/atom) = 0.118
- E (eV/cell) = -38.75
- total magnetic moment (μB per atom) = 0.000
- ΔE_f (raw) (eV per formula unit) = 2.43
- density of states at the Fermi level (states/eV per cell) = 5.35

# 15
MgBe2Nb | PBE-GGA | optimized geometry

POSCAR file:
```
MgBe2Nb
1.0
6.5648 0.0000 0.0000
0.0000 6.5648 0.0000
0.0000 0.0000 5.5441
Mg Be Nb
4 8 4
direct
0.0000 0.0000 0.0000
0.0000 0.5000 0.2500
0.5000 0.0000 0.7500
0.5000 0.5000 0.5000
0.2494 0.2500 0.1250
0.2500 0.7494 0.3750
0.2500 0.7506 0.8750
0.2506 0.2500 0.6250
0.7494 0.7500 0.6250
0.7500 0.2494 0.8750
0.7500 0.2506 0.3750
0.7506 0.7500 0.1250
0.0000 0.0000 0.5000
0.0000 0.5000 0.7500
0.5000 0.0000 0.2500
0.5000 0.5000 0.0000
```

Values from the calculation:
- E (eV/cell) = -66.16
- total magnetic moment (μB per atom) = 0.000
- energy of formation (eV/atom) = 0.644
- density of states at the Fermi level (states/eV per cell) = 14.41

# 16
Li4BeI6 | PBE-GGA | optimized geometry

POSCAR file:
```
Li4BeI6
1.0
6.9549 -4.0198 0.0000
6.9549 4.0198 0.0000
-4.7636 0.0000 13.1904
Li Be I
8 2 12
direct
0.0651 0.9349 0.5000
0.2397 0.4540 0.0016
0.4257 0.8596 0.8447
0.4540 0.2397 0.5016
0.7313 0.9404 0.1959
0.8596 0.4257 0.3447
0.9349 0.0651 0.0000
0.9404 0.7313 0.6959
0.3123 0.8477 0.2591
0.8477 0.3123 0.7591
0.0847 0.5760 0.5094
0.1190 0.1573 0.2022
0.1311 0.6598 0.1948
0.1573 0.1190 0.7022
0.1882 0.7245 0.8867
0.3877 0.9002 0.4412
0.5760 0.0847 0.0094
0.6139 0.6633 0.1942
0.6598 0.1311 0.6948
0.6633 0.6139 0.6942
0.7245 0.1882 0.3867
0.9002 0.3877 0.9412
```

Values from the calculation:
- E (eV/cell) = -63.79
- total magnetic moment (μB per atom) = 0.000
- ΔE_f (raw) (eV per formula unit) = -11.21
- density of states at the Fermi level (states/eV per cell) = 0.00

# 17
Ta2SiAg | PBE-GGA | optimized geometry

POSCAR file:
```
Ta2SiAg
1.0
5.7593 0.0000 0.0000
0.0000 8.0213 0.0000
-0.1879 0.0000 2.8843
Ta Si Ag
4 2 2
direct
0.2500 0.2500 0.0000
0.2500 0.7500 0.0000
0.7500 0.2500 0.0000
0.7500 0.7500 0.0000
0.0000 0.0000 0.5000
0.5000 0.5000 0.5000
0.0000 0.5000 0.5000
0.5000 0.0000 0.5000
```

Values from the calculation:
- E (eV/cell) = -63.16
- total magnetic moment (μB per atom) = 0.000
- ΔE_f (raw) (eV per formula unit) = 0.40
- density of states at the Fermi level (states/eV per cell) = 6.67

# 18
MnSiOs | PBE-GGA | optimized geometry

POSCAR file:
```
MnSiOs
1.0
3.9961 0.0000 0.0000
-1.9980 3.4607 0.0000
0.0000 0.0000 2.6934
Mn Si Os
1 1 1
direct
0.0000 0.0000 0.0000
0.3333 0.6667 0.0035
0.6667 0.3333 0.5012
```

Values from the calculation:
- E (eV/cell) = -26.13
- total magnetic moment (μB per atom) = 0.000
- ΔE_f (raw) (eV per formula unit) = -0.31
- density of states at the Fermi level (states/eV per cell) = 2.05

# 19
V2FeCo2 | PBE-GGA | optimized geometry

POSCAR file:
```
V2FeCo2
1.0
1.9804 -6.1090 0.0000
1.9804 6.1090 0.0000
0.0000 0.0000 4.7726
V Fe Co
4 2 4
direct
0.0796 0.9204 0.5000
0.2892 0.7108 0.6729
0.7108 0.2892 0.1729
0.9204 0.0796 0.0000
0.1152 0.8848 0.9891
0.8848 0.1152 0.4891
0.3233 0.6767 0.1660
0.4822 0.5178 0.7829
0.5178 0.4822 0.2829
0.6767 0.3233 0.6660
```

Values from the calculation:
- energy above the lowest structure with this stoichiometry (eV/atom) = 0.000
- E (eV/cell) = -82.79
- total magnetic moment (μB per atom) = 0.000
- energy of formation (eV/atom) = -0.096
- density of states at the Fermi level (states/eV per cell) = 7.62

# 20
KZn3Bi | PBE-GGA | optimized geometry

POSCAR file:
```
KZn3Bi
1.0
5.6714 0.0000 0.0000
0.0000 5.6714 0.0000
0.0000 0.0000 5.6714
K Zn Bi
1 3 1
direct
0.0000 0.0000 0.0000
0.0000 0.0000 0.5000
0.0000 0.5000 0.0000
0.5000 0.0000 0.0000
0.5000 0.5000 0.5000
```

Values from the calculation:
- energy above the lowest structure with this stoichiometry (eV/atom) = 0.595
- E (eV/cell) = -4.16
- total magnetic moment (μB per atom) = 0.000
- energy of formation (eV/atom) = 0.928
- density of states at the Fermi level (states/eV per cell) = 6.07

# 21
Y4BiSb3 | PBE-GGA | optimized geometry

POSCAR file:
```
Y4BiSb3
1.0
6.2369 0.0000 0.0000
0.0000 6.2369 0.0000
0.0000 0.0000 6.2369
Y Bi Sb
4 1 3
direct
0.0000 0.0000 0.0000
0.0000 0.5000 0.5000
0.5000 0.0000 0.5000
0.5000 0.5000 0.0000
0.5000 0.5000 0.5000
0.0000 0.0000 0.5000
0.0000 0.5000 0.0000
0.5000 0.0000 0.0000
```

Values from the calculation:
- E (eV/cell) = -50.91
- total magnetic moment (μB per atom) = 0.000
- ΔE_f (raw) (eV per formula unit) = -8.80
- density of states at the Fermi level (states/eV per cell) = 0.55

# 22
Pa2GaGe3 | PBE-GGA | optimized geometry

POSCAR file:
```
Pa2GaGe3
1.0
6.4356 -3.8984 0.0000
6.4356 3.8984 0.0000
0.0000 0.0000 5.3140
Pa Ga Ge
4 2 6
direct
0.0620 0.6918 0.7500
0.3083 0.9380 0.7500
0.6918 0.0620 0.2500
0.9380 0.3083 0.2500
0.4652 0.5348 0.2500
0.5348 0.4652 0.7500
0.1437 0.8563 0.2500
0.2953 0.2953 0.0000
0.2953 0.2953 0.5000
0.7047 0.7047 0.0000
0.7047 0.7047 0.5000
0.8563 0.1437 0.7500
```

Values from the calculation:
- energy above the lowest structure with this stoichiometry (eV/atom) = 0.118
- E (eV/cell) = -73.92
- total magnetic moment (μB per atom) = 0.049
- energy of formation (eV/atom) = -0.182
- density of states at the Fermi level (states/eV per cell) = 9.39

# 23
BeCr2Re | PBE-GGA | optimized geometry

POSCAR file:
```
BeCr2Re
1.0
2.9355 0.0000 0.0000
0.0000 4.0821 0.0000
0.0000 0.0000 7.9367
Be Cr Re
2 4 2
direct
0.0000 0.0000 0.0000
0.5000 0.5000 0.5000
0.0000 0.0000 0.4872
0.0000 0.5000 0.7531
0.5000 0.0000 0.2531
0.5000 0.5000 0.9872
0.0000 0.5000 0.2384
0.5000 0.0000 0.7384
```

Values from the calculation:
- E (eV/cell) = -70.56
- total magnetic moment (μB per atom) = 0.003
- energy of formation (eV/atom) = 0.035
- density of states at the Fermi level (states/eV per cell) = 6.48

# 24
UBOsC | PBE-GGA | optimized geometry

POSCAR file:
```
UBOsC
1.0
3.6878 0.0000 0.0000
0.0000 3.6878 0.0000
0.0000 0.0000 7.7114
U B Os C
2 2 2 2
direct
0.2500 0.2500 0.1687
0.7500 0.7500 0.8313
0.2500 0.2500 0.6666
0.7500 0.7500 0.3334
0.2500 0.7500 0.5000
0.7500 0.2500 0.5000
0.2500 0.2500 0.8724
0.7500 0.7500 0.1276
```

Values from the calculation:
- E (eV/cell) = -78.71
- total magnetic moment (μB per atom) = 0.368
- energy of formation (eV/atom) = -0.234
- density of states at the Fermi level (states/eV per cell) = 10.18